1.
Fe2TcMo: optimized geometry, PBE-GGA.

SG: Pmm2, No. 25
Energy above the most stable polymorph in this dataset, meV per atom: 101
ΔE_f, eV/atom: 0.17

a = 2.656 Å, b = 3.709 Å, c = 5.373 Å
α = 90.00°, β = 90.00°, γ = 90.00°
Last column: magnetic moment on the atom in μB.
Fractional positions:
Tc1 0.500 0.500 0.776  -0.22
Mo1 0.000 0.000 0.482  -0.23
Fe1 0.000 0.000 0.004  1.63
Fe2 0.500 0.500 0.237  1.60

---

2.
FeTc2Mo: optimized geometry, PBE-GGA.

SG: C2/m, No. 12
ΔE_f, eV/atom: 0.14

a = 5.119 Å, b = 5.119 Å, c = 2.645 Å
α = 78.92°, β = 78.92°, γ = 116.90°
Last column: magnetic moment on the atom in μB.
Fractional positions:
Fe1 0.500 0.000 0.500  2.47
Tc1 0.500 0.500 0.000  0.03
Tc2 0.000 0.000 0.000  0.03
Mo1 0.000 0.500 0.500  -0.07

---

3.
FeTcMo2: optimized geometry, PBE-GGA.

SG: Fm-3m, No. 225
Energy above the most stable polymorph in this dataset, meV per atom: 36
ΔE_f, eV/atom: 0.14

a = 4.354 Å, b = 4.354 Å, c = 4.354 Å
α = 60.00°, β = 60.00°, γ = 60.00°
Last column: magnetic moment on the atom in μB.
Fractional positions:
Mo1 0.250 0.250 0.250  0.12
Mo2 0.750 0.750 0.750  0.12
Fe1 0.000 0.000 0.000  2.16
Tc1 0.500 0.500 0.500  0.05

---

4.
FeTcMo: optimized geometry, PBE-GGA.

SG: Imm2, No. 44
Energy above the most stable polymorph in this dataset, meV per atom: 129
ΔE_f, eV/atom: 0.19

a = 4.728 Å, b = 4.728 Å, c = 4.728 Å
α = 148.13°, β = 129.70°, γ = 60.79°
Last column: magnetic moment on the atom in μB.
Fractional positions:
Mo1 0.337 0.337 0.000  -0.09
Tc1 0.659 0.659 0.000  0.04
Fe1 0.004 0.004 0.000  2.17

---

5.
FeTcMo2: optimized geometry, PBE-GGA.

SG: Pmm2, No. 25
Energy above the most stable polymorph in this dataset, meV per atom: 140
ΔE_f, eV/atom: 0.24

a = 2.744 Å, b = 3.807 Å, c = 5.560 Å
α = 90.00°, β = 90.00°, γ = 90.00°
Last column: magnetic moment on the atom in μB.
Fractional positions:
Tc1 0.000 0.000 0.511  -0.07
Fe1 0.500 0.500 0.748  1.62
Mo1 0.000 0.000 0.980  -0.18
Mo2 0.500 0.500 0.260  0.00

---

6.
FeTc2Mo: optimized geometry, PBE-GGA.

SG: I-4m2, No. 119
ΔE_f, eV/atom: 0.11

a = 4.679 Å, b = 4.679 Å, c = 4.679 Å
α = 131.37°, β = 131.37°, γ = 71.23°
Last column: magnetic moment on the atom in μB.
Fractional positions:
Mo1 0.750 0.250 0.500  -0.19
Tc1 0.000 0.000 0.000  0.07
Tc2 0.250 0.750 0.500  -0.12
Fe1 0.500 0.500 0.000  1.75

---

7.
Fe2TcMo: optimized geometry, PBE-GGA.

SG: P4/mmm, No. 123
Energy above the most stable polymorph in this dataset, meV per atom: 82
ΔE_f, eV/atom: 0.15

a = 4.216 Å, b = 4.216 Å, c = 3.023 Å
α = 90.00°, β = 90.00°, γ = 90.00°
Last column: magnetic moment on the atom in μB.
Fractional positions:
Fe1 0.500 0.500 0.000  2.22
Fe2 0.000 0.000 0.000  2.22
Tc1 0.000 0.500 0.500  0.43
Mo1 0.500 0.000 0.500  -0.25

---

8.
FeTc3Mo: optimized geometry, PBE-GGA.

SG: Pm-3m, No. 221
Energy above the most stable polymorph in this dataset, meV per atom: 839
ΔE_f, eV/atom: 2.14

a = 4.592 Å, b = 4.592 Å, c = 4.592 Å
α = 90.00°, β = 90.00°, γ = 90.00°
Last column: magnetic moment on the atom in μB.
Fractional positions:
Tc1 0.500 0.000 0.000  0.15
Tc2 0.000 0.000 0.500  0.13
Tc3 0.000 0.500 0.000  0.16
Mo1 0.000 0.000 0.000  -0.03
Fe1 0.500 0.500 0.500  -0.24

---

9.
FeTc2Mo: optimized geometry, PBE-GGA.

SG: R3m, No. 160
ΔE_f, eV/atom: 0.18

a = 9.029 Å, b = 9.029 Å, c = 9.029 Å
α = 17.33°, β = 17.33°, γ = 17.33°
Last column: magnetic moment on the atom in μB.
Fractional positions:
Fe1 0.498 0.498 0.498  1.87
Tc1 0.752 0.752 0.752  -0.06
Tc2 0.003 0.003 0.003  0.04
Mo1 0.247 0.247 0.247  -0.13

---

10.
FeTc2Mo: optimized geometry, PBE-GGA.

SG: I-42d, No. 122
ΔE_f, eV/atom: 0.75

a = 6.881 Å, b = 6.881 Å, c = 5.483 Å
α = 51.14°, β = 51.14°, γ = 90.00°
Fractional positions:
Mo1 0.750 0.250 0.500
Mo2 0.000 0.000 0.000
Tc1 0.160 0.625 0.250
Tc2 0.875 0.840 0.750
Tc3 0.590 0.125 0.250
Tc4 0.375 0.410 0.750
Fe1 0.250 0.750 0.500
Fe2 0.500 0.500 0.000

---

11.
FeTcMo2: optimized geometry, PBE-GGA.

SG: P4mm, No. 99
Energy above the most stable polymorph in this dataset, meV per atom: 7
ΔE_f, eV/atom: 0.11

a = 3.127 Å, b = 3.127 Å, c = 5.977 Å
α = 90.00°, β = 90.00°, γ = 90.00°
Last column: magnetic moment on the atom in μB.
Fractional positions:
Tc1 0.000 0.000 0.506  0.26
Mo1 0.500 0.500 0.257  0.01
Mo2 0.000 0.000 0.983  -0.14
Fe1 0.500 0.500 0.754  2.29

---

12.
FeTcMo2: optimized geometry, PBE-GGA.

SG: P2/m, No. 10
Energy above the most stable polymorph in this dataset, meV per atom: 6
ΔE_f, eV/atom: 0.11

a = 4.352 Å, b = 2.659 Å, c = 5.163 Å
α = 79.42°, β = 90.00°, γ = 90.00°
Last column: magnetic moment on the atom in μB.
Fractional positions:
Mo1 0.000 0.005 0.996  0.02
Mo2 0.000 0.495 0.504  0.02
Fe1 0.500 0.750 0.750  2.49
Tc1 0.500 0.250 0.250  0.12

---

13.
FeTc2Mo: optimized geometry, PBE-GGA.

SG: P4/mmm, No. 123
ΔE_f, eV/atom: 0.10

a = 3.107 Å, b = 3.107 Å, c = 5.936 Å
α = 90.00°, β = 90.00°, γ = 90.00°
Last column: magnetic moment on the atom in μB.
Fractional positions:
Fe1 0.500 0.500 0.250  2.55
Mo1 0.500 0.500 0.750  -0.01
Tc1 0.000 0.000 0.488  0.24
Tc2 0.000 0.000 0.012  0.24

---

14.
FeTc2Mo: optimized geometry, PBE-GGA.

SG: Imm2, No. 44
ΔE_f, eV/atom: 0.12

a = 5.075 Å, b = 5.075 Å, c = 5.075 Å
α = 144.39°, β = 130.39°, γ = 62.55°
Last column: magnetic moment on the atom in μB.
Fractional positions:
Tc1 0.002 0.002 0.000  0.26
Tc2 0.745 0.245 0.500  0.10
Fe1 0.498 0.498 0.000  2.51
Mo1 0.255 0.755 0.500  -0.02

---

15.
FeTcMo2: optimized geometry, PBE-GGA.

SG: Pmmm, No. 47
Energy above the most stable polymorph in this dataset, meV per atom: 0
ΔE_f, eV/atom: 0.10

a = 3.158 Å, b = 4.299 Å, c = 4.305 Å
α = 90.00°, β = 90.00°, γ = 90.00°
Last column: magnetic moment on the atom in μB.
Fractional positions:
Mo1 0.500 0.500 0.000  -0.01
Mo2 0.000 0.000 0.000  -0.01
Fe1 0.000 0.500 0.500  2.38
Tc1 0.500 0.000 0.500  0.25

---

16.
FeTcMo2: optimized geometry, PBE-GGA.

SG: Cmmm, No. 65
Energy above the most stable polymorph in this dataset, meV per atom: 100
ΔE_f, eV/atom: 0.20

a = 4.726 Å, b = 4.726 Å, c = 2.751 Å
α = 90.00°, β = 90.00°, γ = 109.15°
Last column: magnetic moment on the atom in μB.
Fractional positions:
Tc1 0.500 0.000 0.500  -0.01
Mo1 0.000 0.000 0.000  -0.12
Mo2 0.500 0.500 0.000  -0.12
Fe1 0.000 0.500 0.500  1.69

---

17.
Fe3TcMo: optimized geometry, PBE-GGA.

SG: Pm-3m, No. 221
Energy above the most stable polymorph in this dataset, meV per atom: 74
ΔE_f, eV/atom: 1.71

a = 4.363 Å, b = 4.363 Å, c = 4.363 Å
α = 90.00°, β = 90.00°, γ = 90.00°
Last column: magnetic moment on the atom in μB.
Fractional positions:
Mo1 0.000 0.000 0.000  -0.57
Fe1 0.500 0.000 0.000  1.54
Fe2 0.000 0.500 0.000  1.70
Fe3 0.000 0.000 0.500  1.64
Tc1 0.500 0.500 0.500  2.14

---

18.
FeTc4Mo: optimized geometry, PBE-GGA.

SG: F-43m, No. 216
ΔE_f, eV/atom: 0.32

a = 5.065 Å, b = 5.065 Å, c = 5.065 Å
α = 60.00°, β = 60.00°, γ = 60.00°
Last column: magnetic moment on the atom in μB.
Fractional positions:
Mo1 0.000 0.000 0.000  -0.14
Tc1 0.624 0.128 0.624  -0.12
Tc2 0.624 0.624 0.624  -0.12
Tc3 0.128 0.624 0.624  -0.12
Tc4 0.624 0.624 0.128  -0.12
Fe1 0.250 0.250 0.250  2.76

---

19.
Fe2TcMo: optimized geometry, PBE-GGA.

SG: Imm2, No. 44
Energy above the most stable polymorph in this dataset, meV per atom: 34
ΔE_f, eV/atom: 0.10

a = 4.925 Å, b = 4.925 Å, c = 4.925 Å
α = 143.65°, β = 129.15°, γ = 64.11°
Last column: magnetic moment on the atom in μB.
Fractional positions:
Tc1 0.249 0.749 0.500  0.37
Fe1 0.995 0.995 0.000  2.41
Fe2 0.755 0.255 0.500  2.46
Mo1 0.502 0.502 0.000  -0.16

---

20.
TiFeTcMo: optimized geometry, PBE-GGA.

SG: F-43m, No. 216
ΔE_f, eV/atom: -0.19

a = 4.321 Å, b = 4.321 Å, c = 4.321 Å
α = 60.00°, β = 60.00°, γ = 60.00°
Last column: magnetic moment on the atom in μB.
Fractional positions:
Ti1 0.750 0.750 0.750  -0.23
Tc1 0.500 0.500 0.500  0.00
Mo1 0.250 0.250 0.250  -0.05
Fe1 0.000 0.000 0.000  1.26

---

21.
TiFe2TcMo: optimized geometry, PBE-GGA.

SG: P4/mmm, No. 123
ΔE_f, eV/atom: 1.36

a = 4.334 Å, b = 4.592 Å, c = 4.334 Å
α = 90.00°, β = 90.00°, γ = 90.00°
Last column: magnetic moment on the atom in μB.
Fractional positions:
Ti1 0.000 0.500 0.000  -0.11
Fe1 0.000 0.000 0.500  1.59
Fe2 0.500 0.000 0.000  1.37
Mo1 0.500 0.500 0.500  0.27
Tc1 0.000 0.000 0.000  -0.16

---

22.
ZnFeTcMo2: optimized geometry, PBE-GGA.

SG: P4/mmm, No. 123
Energy above the most stable polymorph in this dataset, meV per atom: 0
ΔE_f, eV/atom: 1.14

a = 4.438 Å, b = 4.422 Å, c = 4.438 Å
α = 90.00°, β = 90.00°, γ = 90.00°
Fractional positions:
Zn1 0.500 0.500 0.500
Mo1 0.000 0.000 0.500
Mo2 0.500 0.000 0.000
Fe1 0.000 0.000 0.000
Tc1 0.000 0.500 0.000

---

23.
ZnFeTcMo2: optimized geometry, PBE-GGA.

SG: P4/mmm, No. 123
Energy above the most stable polymorph in this dataset, meV per atom: 528
ΔE_f, eV/atom: 1.67

a = 4.535 Å, b = 4.183 Å, c = 4.535 Å
α = 90.00°, β = 90.00°, γ = 90.00°
Last column: magnetic moment on the atom in μB.
Fractional positions:
Fe1 0.000 0.500 0.000  2.53
Mo1 0.000 0.000 0.500  -0.03
Mo2 0.500 0.000 0.000  0.01
Zn1 0.000 0.000 0.000  -0.01
Tc1 0.500 0.500 0.500  -0.87

---

24.
ZrFeTcMo: optimized geometry, PBE-GGA.

SG: F-43m, No. 216
ΔE_f, eV/atom: -0.06

a = 4.463 Å, b = 4.463 Å, c = 4.463 Å
α = 60.00°, β = 60.00°, γ = 60.00°
Last column: magnetic moment on the atom in μB.
Fractional positions:
Tc1 0.750 0.750 0.750  -0.03
Fe1 0.250 0.250 0.250  1.68
Zr1 0.500 0.500 0.500  -0.17
Mo1 0.000 0.000 0.000  -0.06

---

25.
FeTe2Mo: optimized geometry, PBE-GGA.

SG: R-3m, No. 166
Energy above the most stable polymorph in this dataset, meV per atom: 596
E_form (uncorrected), meV/atom: 455

a = 9.039 Å, b = 9.039 Å, c = 9.039 Å
α = 21.77°, β = 21.77°, γ = 21.77°
Last column: magnetic moment on the atom in μB.
Fractional positions:
Te1 0.095 0.095 0.095  -0.01
Te2 0.905 0.905 0.905  -0.01
Fe1 0.000 0.000 0.000  2.78
Mo1 0.500 0.500 0.500  -0.14

---

26.
FeTe2Mo: optimized geometry, PBE-GGA.

SG: C2/m, No. 12
Energy above the most stable polymorph in this dataset, meV per atom: 598
E_form (uncorrected), meV/atom: 458

a = 4.497 Å, b = 4.497 Å, c = 5.685 Å
α = 79.75°, β = 79.75°, γ = 43.97°
Last column: magnetic moment on the atom in μB.
Fractional positions:
Te1 0.487 0.487 0.504  -0.01
Te2 0.013 0.013 0.996  -0.01
Mo1 0.750 0.750 0.750  -0.01
Fe1 0.250 0.250 0.250  2.54

---

27.
FeTe2Mo: optimized geometry, PBE-GGA.

SG: I-4m2, No. 119
Energy above the most stable polymorph in this dataset, meV per atom: 837
E_form (uncorrected), meV/atom: 697

a = 5.774 Å, b = 5.774 Å, c = 5.774 Å
α = 139.90°, β = 139.90°, γ = 58.00°
Last column: magnetic moment on the atom in μB.
Fractional positions:
Te1 0.250 0.750 0.500  0.03
Te2 0.000 0.000 0.000  0.01
Fe1 0.500 0.500 0.000  2.61
Mo1 0.750 0.250 0.500  -1.49

---

28.
FeTe2Mo: optimized geometry, PBE-GGA.

SG: P4/mmm, No. 123
Energy above the most stable polymorph in this dataset, meV per atom: 497
E_form (uncorrected), meV/atom: 356

a = 3.349 Å, b = 3.349 Å, c = 6.614 Å
α = 90.00°, β = 90.00°, γ = 90.00°
Last column: magnetic moment on the atom in μB.
Fractional positions:
Fe1 0.500 0.500 0.250  2.53
Mo1 0.500 0.500 0.750  -0.18
Te1 0.000 0.000 0.501  0.00
Te2 0.000 0.000 0.999  0.00

---

29.
FeTe2Mo: optimized geometry, PBE-GGA.

SG: Fm-3m, No. 225
Energy above the most stable polymorph in this dataset, meV per atom: 646
E_form (uncorrected), meV/atom: 506

a = 4.656 Å, b = 4.656 Å, c = 4.656 Å
α = 60.00°, β = 60.00°, γ = 60.00°
Fractional positions:
Fe1 0.000 0.000 0.000
Te1 0.250 0.250 0.250
Te2 0.750 0.750 0.750
Mo1 0.500 0.500 0.500

---

30.
FeTeMo: optimized geometry, PBE-GGA.

SG: P-1, No. 2
Energy above the most stable polymorph in this dataset, meV per atom: 0
E_form (uncorrected), meV/atom: 173

a = 3.868 Å, b = 4.677 Å, c = 8.201 Å
α = 93.37°, β = 90.06°, γ = 114.45°
Fractional positions:
Fe1 0.106 0.211 0.607
Fe2 0.894 0.789 0.393
Te1 0.613 0.225 0.814
Te2 0.387 0.775 0.186
Mo1 0.630 0.261 0.428
Mo2 0.370 0.739 0.572

---

Total DFT energy (no corrections)? In order: -0.3440 -0.3624 -0.3669 -0.3564 -0.3631 -0.3636 -0.3446 -0.2917 -0.3611 -0.3401 -0.3680 -0.3680 -0.3641 -0.3633 -0.3682 -0.3645 -0.2795 -0.3604 -0.3464 -0.3520 -0.2884 -0.2650 -0.2456 -0.3532 -0.2183 -0.2182 -0.2094 -0.2219 -0.2164 -0.2685 Ha/atom.
Total magnetization? In order: 2.8 2.5 2.4 2.1 1.4 1.5 4.6 0.2 1.7 0.0 2.4 2.6 3.1 2.9 2.6 1.4 6.6 2.0 5.1 0.9 2.9 0.0 1.5 1.3 2.5 2.5 1.0 2.2 0.0 0.0 μB per formula unit.